Entry i
## YHfCu (PBE-GGA)

Data for a relaxed YHfCu crystal.

Magnetization in μB/cell: 0.0
Volume in A^3/atom: 21.55

Cell lengths 14.9888, 3.3506, 5.1497 Å; angles 90.00, 90.31, 90.00 degrees
Space group Cm (No. 8)
Inequivalent atoms, fractional coordinates:
Y 0.0000 0.0000 0.0000
Y 0.2045 0.5000 0.0149
Hf 0.1489 0.0000 0.5093
Hf 0.3370 0.5000 0.5420
Cu 0.3531 0.0000 0.1314
Cu 0.4933 0.0000 0.4808


Entry ii
## YHfCu (PBE-GGA)

Data for a relaxed YHfCu crystal.

Magnetization in μB/cell: 0.0
Volume in A^3/atom: 21.39

Cell lengths 5.1565, 9.2002, 10.8212 Å; angles 90.00, 90.00, 90.00 degrees
Space group Fmmm (No. 69)
Inequivalent atoms, fractional coordinates:
Y 0.0000 0.0000 0.1433
Hf 0.0000 0.1683 0.5000
Cu 0.2500 0.2500 0.2500


Entry iii
## YHfCu (PBE-GGA)

Data for a relaxed YHfCu crystal.

Magnetization in μB/cell: 0.0
Volume in A^3/atom: 21.59

Cell lengths 3.3363, 3.3363, 11.6361 Å; angles 90.00, 90.00, 90.00 degrees
Space group I4mm (No. 107)
Inequivalent atoms, fractional coordinates:
Y 0.0000 0.0000 0.0000
Hf 0.0000 0.0000 0.3008
Cu 0.0000 0.0000 0.6793


Relative energy table, unit eV/atom: entry i 0.054; entry ii 0.031; entry iii 0.000


Entry i
## YHfCu (PBE-GGA)

Data for a relaxed YHfCu crystal.

Magnetization in μB/cell: 0.0
Volume in A^3/atom: 21.44

Cell lengths 9.1683, 5.2944, 6.9516 Å; angles 90.00, 130.32, 90.00 degrees
Space group Cm (No. 8)
Inequivalent atoms, fractional coordinates:
Y 0.0000 0.0000 0.0000
Y 0.1887 0.0000 0.7004
Hf 0.0117 0.5000 0.6727
Hf 0.2092 0.5000 0.4164
Cu 0.3507 0.2509 0.2091


Entry ii
## YHfCu (PBE-GGA)

Data for a relaxed YHfCu crystal.

Magnetization in μB/cell: 0.0
Volume in A^3/atom: 21.74

Cell lengths 10.6756, 3.4162, 8.4261 Å; angles 90.00, 121.88, 90.00 degrees
Space group C2/m (No. 12)
Inequivalent atoms, fractional coordinates:
Y 0.0710 0.0000 0.3325
Hf 0.1596 0.5000 0.0552
Cu 0.1447 0.5000 0.6649


Relative energy table, unit eV/atom: entry i 0.100; entry ii 0.000


Entry i
## YHfCu (PBE-GGA)

Data for a relaxed YHfCu crystal.

Magnetization in μB/cell: 0.0
Volume in A^3/atom: 20.88

Cell lengths 4.9918, 4.9918, 5.8056 Å; angles 90.00, 90.00, 120.00 degrees
Space group P6_3/mmc (No. 194)
Inequivalent atoms, fractional coordinates:
Y 0.3333 0.6667 0.2500
Hf 0.3333 0.6667 0.7500
Cu 0.0000 0.0000 0.0000


Entry ii
## YHfCu (PBE-GGA)

Data for a relaxed YHfCu crystal.

Magnetization in μB/cell: 0.0
Volume in A^3/atom: 21.89

Cell lengths 7.2930, 4.5406, 7.9309 Å; angles 90.00, 90.00, 90.00 degrees
Space group Pnma (No. 62)
Inequivalent atoms, fractional coordinates:
Y 0.0273 0.2500 0.1687
Hf 0.1366 0.2500 0.5742
Cu 0.2207 0.7500 0.3867


Relative energy table, unit eV/atom: entry i 0.656; entry ii 0.000


Entry i
## YHfCu (PBE-GGA)

Data for a relaxed YHfCu crystal.

Magnetization in μB/cell: 0.0
Volume in A^3/atom: 23.11

Cell lengths 6.5214, 6.5214, 6.5214 Å; angles 90.00, 90.00, 90.00 degrees
Space group F-43m (No. 216)
Inequivalent atoms, fractional coordinates:
Y 0.0000 0.0000 0.0000
Hf 0.2500 0.2500 0.7500
Cu 0.0000 0.0000 0.5000


Entry ii
## YHfCu (PBE-GGA)

Data for a relaxed YHfCu crystal.

Magnetization in μB/cell: 0.0
Volume in A^3/atom: 21.53

Cell lengths 4.7910, 5.8471, 5.9148 Å; angles 118.54, 113.84, 90.08 degrees
Space group P-1 (No. 2)
Inequivalent atoms, fractional coordinates:
Y 0.1704 0.0722 0.3410
Hf 0.4404 0.6932 0.8814
Cu 0.1302 0.5472 0.2596


Entry iii
## YHfCu (PBE-GGA)

Data for a relaxed YHfCu crystal.

Magnetization in μB/cell: 0.0
Volume in A^3/atom: 21.67

Cell lengths 4.6825, 8.1333, 6.8290 Å; angles 90.00, 90.00, 90.00 degrees
Space group Cmcm (No. 63)
Inequivalent atoms, fractional coordinates:
Y 0.0000 0.0000 0.0000
Hf 0.0000 0.3332 0.2500
Cu 0.0000 0.3337 0.7500


Relative energy table, unit eV/atom: entry i 0.897; entry ii 0.000; entry iii 0.117


Entry i
## YHfCu (PBE-GGA)

Data for a relaxed YHfCu crystal.

Magnetization in μB/cell: 0.0
Volume in A^3/atom: 21.60

Cell lengths 3.3859, 4.9680, 7.8908 Å; angles 90.00, 102.43, 90.00 degrees
Space group P2_1/m (No. 11)
Inequivalent atoms, fractional coordinates:
Y 0.0805 0.2500 0.1625
Hf 0.2264 0.7500 0.4527
Cu 0.4114 0.2500 0.8225


Entry ii
## YHfCu (PBE-GGA)

Data for a relaxed YHfCu crystal.

Magnetization in μB/cell: 0.0
Volume in A^3/atom: 22.96

Cell lengths 15.7204, 4.5401, 7.7372 Å; angles 90.00, 93.75, 90.00 degrees
Space group C2/m (No. 12)
Inequivalent atoms, fractional coordinates:
Y 0.0481 0.0000 0.3305
Y 0.0894 0.5000 0.8573
Hf 0.2072 0.0000 0.0813
Hf 0.2101 0.0000 0.6596
Cu 0.1328 0.5000 0.2000
Cu 0.1364 0.5000 0.5189


Relative energy table, unit eV/atom: entry i 0.000; entry ii 0.189


Entry i
## YHfCu (PBE-GGA)

Data for a relaxed YHfCu crystal.

Magnetization in μB/cell: 0.0
Volume in A^3/atom: 21.55

Cell lengths 4.7341, 3.3006, 8.2731 Å; angles 90.00, 90.03, 90.00 degrees
Space group Pm (No. 6)
Inequivalent atoms, fractional coordinates:
Y 0.0000 0.0000 0.0000
Y 0.4994 0.0000 0.3672
Hf 0.0001 0.5000 0.6144
Hf 0.5002 0.0000 0.7500
Cu 0.4995 0.5000 0.0613
Cu 0.9986 0.5000 0.2804


Entry ii
## YHfCu (PBE-GGA)

Data for a relaxed YHfCu crystal.

Magnetization in μB/cell: 0.0
Volume in A^3/atom: 21.97

Cell lengths 4.3590, 4.3590, 6.9391 Å; angles 90.00, 90.00, 90.00 degrees
Space group P4/nmm (No. 129, origin choice 2)
Inequivalent atoms, fractional coordinates:
Y 0.2500 0.7500 0.0000
Hf 0.2500 0.2500 0.3794
Cu 0.2500 0.2500 0.7304


Entry iii
## YHfCu (PBE-GGA)

Data for a relaxed YHfCu crystal.

Magnetization in μB/cell: 0.0
Volume in A^3/atom: 21.69

Cell lengths 4.8037, 5.8004, 5.9064 Å; angles 96.76, 113.39, 113.99 degrees
Space group P1 (No. 1)
Inequivalent atoms, fractional coordinates:
Y 0.0000 0.0000 0.0000
Y 0.3975 0.6480 0.1422
Hf 0.2497 0.9321 0.5697
Hf 0.8782 0.2989 0.4765
Cu 0.5407 0.5053 0.6081
Cu 0.6782 0.3477 0.9981


Relative energy table, unit eV/atom: entry i 0.000; entry ii 0.259; entry iii 0.054


Entry i
## YHfCu3 (PBE-GGA)

Data for a relaxed YHfCu3 crystal.

Magnetization in μB/cell: 0.0
Volume in A^3/atom: 22.18

Cell lengths 4.8046, 4.8046, 4.8046 Å; angles 90.00, 90.00, 90.00 degrees
Space group Pm-3m (No. 221)
Inequivalent atoms, fractional coordinates:
Y 0.0000 0.0000 0.0000
Hf 0.5000 0.5000 0.5000
Cu 0.0000 0.5000 0.5000


Entry ii
## YHfCu3 (PBE-GGA)

Data for a relaxed YHfCu3 crystal.

Magnetization in μB/cell: 0.0
Volume in A^3/atom: 21.64

Cell lengths 4.7653, 4.7653, 4.7653 Å; angles 90.00, 90.00, 90.00 degrees
Space group Pm-3m (No. 221)
Inequivalent atoms, fractional coordinates:
Y 0.0000 0.0000 0.0000
Hf 0.5000 0.5000 0.5000
Cu 0.0000 0.0000 0.5000


Relative energy table, unit eV/atom: entry i 0.000; entry ii 0.531


Entry i
## HfZn3Cu (PBE-GGA)

Data for a relaxed HfZn3Cu crystal.

Magnetization in μB/cell: 0.0
Volume in A^3/atom: 15.81

Cell lengths 8.4277, 3.3136, 11.3213 Å; angles 90.00, 90.00, 90.00 degrees
Space group Pnma (No. 62)
Inequivalent atoms, fractional coordinates:
Hf 0.1533 0.2500 0.0080
Zn 0.0790 0.2500 0.4168
Zn 0.0960 0.7500 0.2187
Zn 0.1512 0.7500 0.8002
Cu 0.1355 0.2500 0.6328


Entry ii
## HfZn3Cu (PBE-GGA)

Data for a relaxed HfZn3Cu crystal.

Magnetization in μB/cell: 0.0
Volume in A^3/atom: 17.57

Cell lengths 4.4453, 4.4453, 4.4453 Å; angles 90.00, 90.00, 90.00 degrees
Space group Pm-3m (No. 221)
Inequivalent atoms, fractional coordinates:
Hf 0.0000 0.0000 0.0000
Zn 0.0000 0.5000 0.5000
Cu 0.5000 0.5000 0.5000


Relative energy table, unit eV/atom: entry i 0.000; entry ii 0.431


Entry i
## HfZn3Cu (PBE-GGA)

Data for a relaxed HfZn3Cu crystal.

Magnetization in μB/cell: 0.0
Volume in A^3/atom: 28.11

Cell lengths 5.1993, 5.1993, 5.1993 Å; angles 90.00, 90.00, 90.00 degrees
Space group Pm-3m (No. 221)
Inequivalent atoms, fractional coordinates:
Hf 0.0000 0.0000 0.0000
Zn 0.0000 0.0000 0.5000
Cu 0.5000 0.5000 0.5000


Entry ii
## HfZn3Cu (PBE-GGA)

Data for a relaxed HfZn3Cu crystal.

Magnetization in μB/cell: 0.0
Volume in A^3/atom: 15.81

Cell lengths 6.6866, 3.3092, 7.4687 Å; angles 90.00, 106.95, 90.00 degrees
Space group P2_1/m (No. 11)
Inequivalent atoms, fractional coordinates:
Hf 0.1554 0.2500 0.1548
Zn 0.0854 0.2500 0.6540
Zn 0.3164 0.7500 0.4980
Zn 0.3206 0.7500 0.9099
Cu 0.4952 0.2500 0.7459


Relative energy table, unit eV/atom: entry i 1.380; entry ii 0.000


Entry i
## Hf4ZnCu (PBE-GGA)

Data for a relaxed Hf4ZnCu crystal.

Magnetization in μB/cell: 0.0
Volume in A^3/atom: 19.31

Cell lengths 3.1939, 3.1939, 11.3589 Å; angles 90.00, 90.00, 90.00 degrees
Space group P4/mmm (No. 123)
Inequivalent atoms, fractional coordinates:
Hf 0.0000 0.0000 0.1543
Hf 0.5000 0.5000 0.3388
Zn 0.0000 0.0000 0.5000
Cu 0.5000 0.5000 0.0000


Entry ii
## Hf4ZnCu (PBE-GGA)

Data for a relaxed Hf4ZnCu crystal.

Magnetization in μB/cell: 0.0
Volume in A^3/atom: 19.12

Cell lengths 6.8257, 6.8257, 4.9245 Å; angles 90.00, 90.00, 90.00 degrees
Space group P4/mcc (No. 124)
Inequivalent atoms, fractional coordinates:
Hf 0.1491 0.3430 0.0000
Zn 0.5000 0.5000 0.2500
Cu 0.0000 0.0000 0.2500


Relative energy table, unit eV/atom: entry i 0.000; entry ii 0.066


Entry i
## Hf3Zn4Cu2 (PBE-GGA)

Data for a relaxed Hf3Zn4Cu2 crystal.

Magnetization in μB/cell: 0.0
Volume in A^3/atom: 16.34

Cell lengths 8.1845, 4.4956, 8.0430 Å; angles 90.00, 96.50, 90.00 degrees
Space group C2/m (No. 12)
Inequivalent atoms, fractional coordinates:
Hf 0.0000 0.0000 0.0000
Hf 0.1252 0.5000 0.7341
Zn 0.0563 0.0000 0.3598
Zn 0.1852 0.5000 0.0979
Cu 0.2207 0.5000 0.4061


Entry ii
## Hf3Zn4Cu2 (PBE-GGA)

Data for a relaxed Hf3Zn4Cu2 crystal.

Magnetization in μB/cell: 0.0
Volume in A^3/atom: 16.38

Cell lengths 9.6548, 4.3412, 8.0707 Å; angles 90.00, 119.37, 90.00 degrees
Space group C2/m (No. 12)
Inequivalent atoms, fractional coordinates:
Hf 0.0000 0.0000 0.0000
Hf 0.1689 0.5000 0.6619
Zn 0.0550 0.0000 0.3868
Zn 0.2170 0.5000 0.0524
Cu 0.1054 0.5000 0.2729


Relative energy table, unit eV/atom: entry i 0.058; entry ii 0.000